A relaxed structure of KMnTeN2. Source: Alexandria via LeMat-Bulk, functional GGA-PBE.

Calculated values
The uncorrected formation energy comes out at 2134 meV/atom. For the density of states at the Fermi level, the calculation gives 2.494 states/eV/cell. The magnetic moment comes out at 2.040 μB/atom. The calculation puts the energy above the most stable polymorph in this dataset at 631 kJ/mol of formula units.

```
5
Lattice="4.741 0.000 0.000 0.000 4.741 0.000 0.000 0.000 6.958" Properties=species:S:1:pos:R:3 pbc="T T T"
K 0.000 0.000 0.000
Mn 2.370 2.370 3.479
Te 0.000 0.000 3.479
N 0.000 2.370 0.000
N 2.370 0.000 0.000
```